The following is a DFT calculation (PBE-GGA) of an optimized crystal structure of TbPaZnO6.

Results
* spin magnetization: 0.00 μB per formula unit
* crystal system: trigonal
* SG: No. 149
* E_form (uncorrected): -2.41 eV per atom

Cell: 5.424 5.424 4.883 Å, 90.00 90.00 120.00°
Atoms (fractional coordinates):
Tb (0.000, 0.000, 0.000)
Pa (0.667, 0.333, 0.500)
Zn (0.333, 0.667, 0.000)
O (0.001, 0.359, 0.242)
O (0.001, 0.642, 0.758)
O (0.358, 0.359, 0.758)
O (0.358, 0.999, 0.242)
O (0.641, 0.642, 0.242)
O (0.641, 0.999, 0.758)



The following is a DFT calculation (PBE-GGA) of an optimized crystal structure of TbZrPaO6.

Results
* spin magnetization: 0.00 μB per formula unit
* crystal system: trigonal
* SG: No. 163
* E_form (uncorrected): -3.43 eV per atom

Cell: 5.635 5.635 9.479 Å, 90.00 90.00 120.00°
Atoms (fractional coordinates):
Tb (0.333, 0.667, 0.250)
Tb (0.667, 0.333, 0.750)
Zr (0.333, 0.667, 0.750)
Zr (0.667, 0.333, 0.250)
Pa (0.000, 0.000, 0.000)
Pa (0.000, 0.000, 0.500)
O (0.022, 0.338, 0.629)
O (0.022, 0.684, 0.871)
O (0.316, 0.338, 0.871)
O (0.316, 0.978, 0.629)
O (0.338, 0.022, 0.129)
O (0.338, 0.316, 0.371)
O (0.662, 0.684, 0.629)
O (0.662, 0.978, 0.871)
O (0.684, 0.022, 0.371)
O (0.684, 0.662, 0.129)
O (0.978, 0.316, 0.129)
O (0.978, 0.662, 0.371)